A plane-wave DFT calculation with GGA+U was carried out for a relaxed Ba3MnF crystal.

Lattice parameters (Å, degrees): 6.5472 6.5472 6.5472 90.00 90.00 90.00
Fractional positions:
Mn1 0.0000 0.0000 0.0000
Ba1 0.0000 0.0000 0.5000
Ba2 0.5000 0.0000 0.0000
Ba3 0.0000 0.5000 0.0000
F1 0.5000 0.5000 0.5000

Computed properties:
- M_tot (Bohr magnetons per cell) = 3.67
- space-group type = Pm-3m
- electronic total energy (eV per atom) = -3.09